# GGA-PBE FeTeRu2, relaxed
data_FeTeRu2
_cell_length_a 8.474
_cell_length_b 3.074
_cell_length_c 4.903
_cell_angle_alpha 90.00
_cell_angle_beta 102.01
_cell_angle_gamma 90.00
_symmetry_space_group_name_H-M 'C 1 2/m 1'
_symmetry_Int_Tables_number 12
loop_
_symmetry_equiv_pos_as_xyz
'x,y,z'
'-x,-y,-z'
'-x,y,-z'
'x,-y,z'
'x+1/2,y+1/2,z'
'-x+1/2,-y+1/2,-z'
'-x+1/2,y+1/2,-z'
'x+1/2,-y+1/2,z'
loop_
_atom_site_label
_atom_site_type_symbol
_atom_site_fract_x
_atom_site_fract_y
_atom_site_fract_z
_atom_site_occupancy
Fe1 Fe 0.000 0.000 0.000 1
Te1 Te 0.000 0.500 0.500 1
Ru1 Ru 0.243 0.500 0.225 1
# M_tot	3.044	μB/f.u.
# VASP energy	-7.20	eV/atom
# E_form (uncorrected)	7.75	kcal/mol of atoms

---

# GGA-PBE GaPdF2, relaxed
data_GaPdF2
_cell_length_a 3.800
_cell_length_b 3.800
_cell_length_c 15.012
_cell_angle_alpha 90.00
_cell_angle_beta 90.00
_cell_angle_gamma 90.00
_symmetry_space_group_name_H-M 'I -4 2 d'
_symmetry_Int_Tables_number 122
_symmetry_space_group_name_Hall 'I -4 2bw'
loop_
_atom_site_label
_atom_site_type_symbol
_atom_site_fract_x
_atom_site_fract_y
_atom_site_fract_z
_atom_site_occupancy
Ga1 Ga 0.000 0.000 0.000 1
Pd1 Pd 0.000 0.000 0.500 1
F1 F 0.233 0.250 0.125 1
# M_tot	0.000	μB/f.u.
# VASP energy	-4.08	eV/atom
# E_form (uncorrected)	-25.21	kcal/mol of atoms
# excess energy over the best structure of this formula in the dataset	0.0	meV/atom

---

# GGA-PBE Li6S2O, relaxed
data_Li6S2O
_cell_length_a 5.017
_cell_length_b 5.017
_cell_length_c 10.821
_cell_angle_alpha 90.00
_cell_angle_beta 90.00
_cell_angle_gamma 90.00
_symmetry_space_group_name_H-M 'P 42/m n m'
_symmetry_Int_Tables_number 136
_symmetry_space_group_name_Hall '-P 4n 2n'
loop_
_atom_site_label
_atom_site_type_symbol
_atom_site_fract_x
_atom_site_fract_y
_atom_site_fract_z
_atom_site_occupancy
Li1 Li 0.172 0.172 0.144 1
Li2 Li 0.223 0.223 0.500 1
S1 S 0.000 0.000 0.335 1
O1 O 0.000 0.000 0.000 1
# M_tot	0.000	μB/f.u.
# VASP energy	-4.13	eV/atom
# E_form (uncorrected)	-31.90	kcal/mol of atoms

---

# GGA-PBE KZnCd2Pb, relaxed
data_KZnCd2Pb
_cell_length_a 5.229
_cell_length_b 5.229
_cell_length_c 5.642
_cell_angle_alpha 90.00
_cell_angle_beta 90.00
_cell_angle_gamma 90.00
_symmetry_space_group_name_H-M 'P 4/m m m'
_symmetry_Int_Tables_number 123
_symmetry_space_group_name_Hall '-P 4 2'
loop_
_atom_site_label
_atom_site_type_symbol
_atom_site_fract_x
_atom_site_fract_y
_atom_site_fract_z
_atom_site_occupancy
K1 K 0.000 0.000 0.000 1
Zn1 Zn 0.500 0.500 0.500 1
Cd1 Cd 0.000 0.500 0.500 1
Pb1 Pb 0.500 0.500 0.000 1
# M_tot	0.000	μB/f.u.
# VASP energy	-1.48	eV/atom

---

# GGA-PBE Os2PdF, relaxed
data_Os2PdF
_cell_length_a 6.034
_cell_length_b 6.034
_cell_length_c 6.034
_cell_angle_alpha 90.00
_cell_angle_beta 90.00
_cell_angle_gamma 90.00
_symmetry_space_group_name_H-M 'F m -3 m'
_symmetry_Int_Tables_number 225
_symmetry_space_group_name_Hall '-F 4 2 3'
loop_
_atom_site_label
_atom_site_type_symbol
_atom_site_fract_x
_atom_site_fract_y
_atom_site_fract_z
_atom_site_occupancy
Os1 Os 0.250 0.250 0.250 1
Pd1 Pd 0.000 0.000 0.000 1
F1 F 0.000 0.000 0.500 1
# M_tot	0.000	μB/f.u.
# VASP energy	-6.56	eV/atom
# E_form (uncorrected)	18.86	kcal/mol of atoms
# excess energy over the best structure of this formula in the dataset	0.0	meV/atom

---

# GGA-PBE Li4Tb3Hg4, relaxed
data_Li4Tb3Hg4
_cell_length_a 3.460
_cell_length_b 4.697
_cell_length_c 15.485
_cell_angle_alpha 98.62
_cell_angle_beta 96.36
_cell_angle_gamma 90.00
_symmetry_space_group_name_H-M 'P -1'
_symmetry_Int_Tables_number 2
loop_
_symmetry_equiv_pos_as_xyz
'x,y,z'
'-x,-y,-z'
loop_
_atom_site_label
_atom_site_type_symbol
_atom_site_fract_x
_atom_site_fract_y
_atom_site_fract_z
_atom_site_occupancy
Li1 Li 0.093 0.094 0.187 1
Li2 Li 0.242 0.742 0.484 1
Tb1 Tb 0.357 0.356 0.714 1
Tb2 Tb 0.500 0.000 0.000 1
Hg1 Hg 0.051 0.552 0.102 1
Hg2 Hg 0.184 0.185 0.369 1
# M_tot	0.000	μB/f.u.
# VASP energy	-2.38	eV/atom

---

One value per record, in order, for DOS at the Fermi energy: 9.98 7.16 0.00 3.09 18.26 9.06 states/eV/cell.